Model i:
The following is a DFT calculation (PBE-GGA) of crystalline NbSbSN2 at its relaxed geometry.

Computed properties:
**Crystal system**: tetragonal
**Volume**: 16.77 A^3/atom

a = 4.0724 Å, b = 4.0724 Å, c = 5.0568 Å
α = 90.00°, β = 90.00°, γ = 90.00°
Space group P4/mmm (No. 123)
One atom of each set of equivalent atoms:
1 Nb 0.0000 0.0000 0.0000 (multiplicity 1)
2 Sb 0.5000 0.5000 0.5000 (multiplicity 1)
3 S 0.0000 0.0000 0.5000 (multiplicity 1)
4 N 0.0000 0.5000 0.0000 (multiplicity 2)

Model ii:
The following is a DFT calculation (PBE-GGA) of crystalline NbSbSN2 at its relaxed geometry.

Computed properties:
**Crystal system**: tetragonal
**Volume**: 16.03 A^3/atom

a = 4.0194 Å, b = 4.0194 Å, c = 4.9610 Å
α = 90.00°, β = 90.00°, γ = 90.00°
Space group P4/mmm (No. 123)
One atom of each set of equivalent atoms:
1 Nb 0.0000 0.0000 0.0000 (multiplicity 1)
2 Sb 0.5000 0.5000 0.5000 (multiplicity 1)
3 S 0.5000 0.5000 0.0000 (multiplicity 1)
4 N 0.0000 0.5000 0.5000 (multiplicity 2)

Tell me which of them is the most stable. Sure, it is model i.

Model i:
The following is a DFT calculation (PBE-GGA) of crystalline NbSeS2N at its relaxed geometry.

Computed properties:
**Crystal system**: tetragonal
**Volume**: 19.07 A^3/atom

a = 4.9515 Å, b = 4.9515 Å, c = 3.8889 Å
α = 90.00°, β = 90.00°, γ = 90.00°
Space group P4/mmm (No. 123)
One atom of each set of equivalent atoms:
1 Nb 0.0000 0.0000 0.0000 (multiplicity 1)
2 Se 0.5000 0.5000 0.5000 (multiplicity 1)
3 S 0.0000 0.5000 0.0000 (multiplicity 2)
4 N 0.0000 0.0000 0.5000 (multiplicity 1)

Model ii:
The following is a DFT calculation (PBE-GGA) of crystalline NbSeS2N at its relaxed geometry.

Computed properties:
**Crystal system**: tetragonal
**Volume**: 17.01 A^3/atom

a = 4.8644 Å, b = 4.8644 Å, c = 3.5934 Å
α = 90.00°, β = 90.00°, γ = 90.00°
Space group P4/mmm (No. 123)
One atom of each set of equivalent atoms:
1 Nb 0.0000 0.0000 0.0000 (multiplicity 1)
2 Se 0.5000 0.5000 0.5000 (multiplicity 1)
3 S 0.0000 0.5000 0.5000 (multiplicity 2)
4 N 0.5000 0.5000 0.0000 (multiplicity 1)

Tell me which of them is the most stable. Sure, it is model i.

Model i:
The following is a DFT calculation (PBE-GGA) of crystalline NbSeSN2 at its relaxed geometry.

Computed properties:
**Crystal system**: tetragonal
**Volume**: 13.59 A^3/atom

a = 3.8312 Å, b = 3.8312 Å, c = 4.6292 Å
α = 90.00°, β = 90.00°, γ = 90.00°
Space group P4/mmm (No. 123)
One atom of each set of equivalent atoms:
1 Nb 0.0000 0.0000 0.0000 (multiplicity 1)
2 Se 0.5000 0.5000 0.5000 (multiplicity 1)
3 S 0.5000 0.5000 0.0000 (multiplicity 1)
4 N 0.0000 0.5000 0.5000 (multiplicity 2)

Model ii:
The following is a DFT calculation (PBE-GGA) of crystalline NbSeSN2 at its relaxed geometry.

Computed properties:
**Crystal system**: tetragonal
**Volume**: 13.00 A^3/atom

a = 3.7445 Å, b = 3.7445 Å, c = 4.6342 Å
α = 90.00°, β = 90.00°, γ = 90.00°
Space group P4/mmm (No. 123)
One atom of each set of equivalent atoms:
1 Nb 0.0000 0.0000 0.0000 (multiplicity 1)
2 Se 0.5000 0.5000 0.0000 (multiplicity 1)
3 S 0.5000 0.5000 0.5000 (multiplicity 1)
4 N 0.0000 0.5000 0.5000 (multiplicity 2)

Tell me which of them is the most stable. Sure, it is model i.

Model i:
The following is a DFT calculation (PBE-GGA) of crystalline NbSiSN2 at its relaxed geometry.

Computed properties:
**Crystal system**: tetragonal
**Volume**: 11.85 A^3/atom

a = 3.5892 Å, b = 3.5892 Å, c = 4.5980 Å
α = 90.00°, β = 90.00°, γ = 90.00°
Space group P4/mmm (No. 123)
One atom of each set of equivalent atoms:
1 Nb 0.0000 0.0000 0.0000 (multiplicity 1)
2 Si 0.5000 0.5000 0.5000 (multiplicity 1)
3 S 0.5000 0.5000 0.0000 (multiplicity 1)
4 N 0.0000 0.5000 0.5000 (multiplicity 2)

Model ii:
The following is a DFT calculation (PBE-GGA) of crystalline NbSiSN2 at its relaxed geometry.

Computed properties:
**Crystal system**: tetragonal
**Volume**: 16.45 A^3/atom

a = 3.9933 Å, b = 3.9933 Å, c = 5.1583 Å
α = 90.00°, β = 90.00°, γ = 90.00°
Space group P4/mmm (No. 123)
One atom of each set of equivalent atoms:
1 Nb 0.0000 0.0000 0.0000 (multiplicity 1)
2 Si 0.5000 0.5000 0.5000 (multiplicity 1)
3 S 0.0000 0.0000 0.5000 (multiplicity 1)
4 N 0.0000 0.5000 0.0000 (multiplicity 2)

Tell me which of them is the most stable. Sure, it is model i.